Record 1
Material: Sc4OsPt2
Method: DFT, PBE-GGA
State: optimized geometry

For the calculated formation energy, the calculation gives -5.71 eV/f.u. The magnetic moment comes out at 0.00 μB/cell.

The structure belongs to space group P4/mmm (No. 123); the cell edges are 4.633, 4.633 and 6.378 Å and the angles 90.00°, 90.00° and 90.00°. The inequivalent atoms are Sc at (0.000, 0.500, 0.248), Os at (0.000, 0.000, 0.000), Pt at (0.000, 0.000, 0.500) and Pt at (0.500, 0.500, 0.000).

---

Record 2
Material: TbScOsPt
Method: DFT, PBE-GGA
State: optimized geometry

For the calculated formation energy, the calculation gives -2.74 eV/f.u. The magnetic moment comes out at 0.00 μB/cell.

The structure belongs to space group F-43m (No. 216); the cell edges are 6.718, 6.718 and 6.718 Å and the angles 90.00°, 90.00° and 90.00°. The inequivalent atoms are Tb at (0.000, 0.000, 0.000), Sc at (0.000, 0.000, 0.500), Os at (0.250, 0.250, 0.750) and Pt at (0.250, 0.250, 0.250).